Density functional theory data (GGA-PBE) for a relaxed structure of HOsPbO6.

The total moment is 0.000 Bohr magnetons per cell. Its volume is 12.6 Å³/atom. For the final energy, the calculation gives -6.172 eV per atom.

Unit cell a=5.068 b=5.373 c=4.951 alpha=96.56 beta=92.63 gamma=57.94
Positions (direct):
1 H 0.587 0.824 0.684
2 Os 0.352 0.335 0.455
3 Pb 0.041 0.979 0.960
4 O 0.024 0.317 0.290
5 O 0.370 0.997 0.683
6 O 0.617 0.330 0.721
7 O 0.015 0.620 0.699
8 O 0.357 0.589 0.263
9 O 0.638 0.009 0.245